# 1
Density functional theory data (PBE) for an optimized crystal structure of Ba12Se3O5.

Cell lengths 15.2329, 15.2329, 15.2329 Å; angles 109.47, 109.47, 109.47 degrees
With the nearest neighbours (Å) after each atom.
Atoms (fractional coordinates):
Ba1 0.0175 0.2021 0.1174  1 O 2.54
Ba2 0.0175 0.3154 0.9001  1 O 2.54
Ba3 0.0847 0.7021 0.6846  1 O 2.54
Ba4 0.0847 0.8826 0.4001  1 O 2.54
Ba5 0.0999 0.6174 0.4153  1 O 2.54
Ba6 0.0999 0.9825 0.6846  1 O 2.54
Ba7 0.1174 0.0175 0.2021  1 O 2.54
Ba8 0.1174 0.5999 0.9153  1 O 2.54
Ba9 0.1846 0.2021 0.5847  1 O 2.54
Ba10 0.1846 0.4825 0.5999  1 O 2.54
Ba11 0.2021 0.1174 0.0175  1 O 2.54
Ba12 0.2021 0.5847 0.1846  1 O 2.54
Ba13 0.2979 0.3154 0.9153  1 O 2.54
Ba14 0.2979 0.4825 0.3826  1 O 2.54
Ba15 0.3154 0.9001 0.0175  1 O 2.54
Ba16 0.3154 0.9153 0.2979  1 O 2.54
Ba17 0.3826 0.2979 0.4825  1 O 2.54
Ba18 0.3826 0.5847 0.9001  1 O 2.54
Ba19 0.4001 0.0847 0.8826  1 O 2.54
Ba20 0.4001 0.8154 0.5175  1 O 2.54
Ba21 0.4153 0.0999 0.6174  1 O 2.54
Ba22 0.4153 0.8154 0.7979  1 O 2.54
Ba23 0.4825 0.3826 0.2979  1 O 2.54
Ba24 0.4825 0.5999 0.1846  1 O 2.54
Ba25 0.5175 0.4001 0.8154  1 O 2.54
Ba26 0.5175 0.6174 0.7021  1 O 2.54
Ba27 0.5847 0.1846 0.2021  1 O 2.54
Ba28 0.5847 0.9001 0.3826  1 O 2.54
Ba29 0.5999 0.1846 0.4825  1 O 2.54
Ba30 0.5999 0.9153 0.1174  1 O 2.54
Ba31 0.6174 0.4153 0.0999  1 O 2.54
Ba32 0.6174 0.7021 0.5175  1 O 2.54
Ba33 0.6846 0.0847 0.7021  1 O 2.54
Ba34 0.6846 0.0999 0.9825  1 O 2.54
Ba35 0.7021 0.5175 0.6174  1 O 2.54
Ba36 0.7021 0.6846 0.0847  1 O 2.54
Ba37 0.7979 0.4153 0.8154  1 O 2.54
Ba38 0.7979 0.8826 0.9825  1 O 2.54
Ba39 0.8154 0.5175 0.4001  1 O 2.54
Ba40 0.8154 0.7979 0.4153  1 O 2.54
Ba41 0.8826 0.4001 0.0847  1 O 2.54
Ba42 0.8826 0.9825 0.7979  1 O 2.54
Ba43 0.9001 0.0175 0.3154  1 O 2.54
Ba44 0.9001 0.3826 0.5847  1 O 2.54
Ba45 0.9153 0.1174 0.5999  1 O 2.54
Ba46 0.9153 0.2979 0.3154  1 O 2.54
Ba47 0.9825 0.6846 0.0999  1 O 2.54
Ba48 0.9825 0.7979 0.8826  1 O 2.54
Se1 0.1250 0.2500 0.3750  8 Ba 3.41-3.58
Se2 0.1250 0.3750 0.7500  8 Ba 3.41-3.58
Se3 0.2500 0.3750 0.1250  8 Ba 3.41-3.58
Se4 0.2500 0.8750 0.6250  8 Ba 3.41-3.58
Se5 0.3750 0.1250 0.2500  8 Ba 3.41-3.58
Se6 0.3750 0.7500 0.1250  8 Ba 3.41-3.58
Se7 0.6250 0.2500 0.8750  8 Ba 3.41-3.58
Se8 0.6250 0.8750 0.7500  8 Ba 3.41-3.58
Se9 0.7500 0.1250 0.3750  8 Ba 3.41-3.58
Se10 0.7500 0.6250 0.8750  8 Ba 3.41-3.58
Se11 0.8750 0.6250 0.2500  8 Ba 3.41-3.58
Se12 0.8750 0.7500 0.6250  8 Ba 3.41-3.58
O1 0.0000 0.0000 0.0000  6 Ba 2.87
O2 0.0000 0.0000 0.5000  6 Ba 2.87
O3 0.0000 0.5000 0.0000  6 Ba 2.87
O4 0.0000 0.5000 0.5000  6 Ba 2.87
O5 0.1250 0.7500 0.8750  4 Ba 2.54
O6 0.1250 0.8750 0.2500  4 Ba 2.54
O7 0.2500 0.1250 0.8750  4 Ba 2.54
O8 0.2500 0.6250 0.3750  4 Ba 2.54
O9 0.3750 0.2500 0.6250  4 Ba 2.54
O10 0.3750 0.6250 0.7500  4 Ba 2.54
O11 0.5000 0.0000 0.0000  6 Ba 2.87
O12 0.5000 0.0000 0.5000  6 Ba 2.87
O13 0.5000 0.5000 0.0000  6 Ba 2.87
O14 0.5000 0.5000 0.5000  6 Ba 2.87
O15 0.6250 0.3750 0.2500  4 Ba 2.54
O16 0.6250 0.7500 0.3750  4 Ba 2.54
O17 0.7500 0.3750 0.6250  4 Ba 2.54
O18 0.7500 0.8750 0.1250  4 Ba 2.54
O19 0.8750 0.1250 0.7500  4 Ba 2.54
O20 0.8750 0.2500 0.1250  4 Ba 2.54

## Properties
The value obtained for the total magnetization is 6.2 μB/f.u. Its space group is Ia-3d. Its formation energy from raw total energies is -1674 meV/atom. Its calculated total energy is -91.80 eV/f.u.


# 2
Density functional theory data (PBE) for an optimized crystal structure of BaSe2O.

Cell lengths 5.9524, 5.9524, 5.9524 Å; angles 45.75, 45.75, 45.75 degrees
With the nearest neighbours (Å) after each atom.
Atoms (fractional coordinates):
Ba1 0.0000 0.0000 0.0000  2 Se 3.04
Se1 0.1904 0.1904 0.1904  3 O 2.70, 3 Se 2.78
Se2 0.8096 0.8096 0.8096  3 O 2.70, 3 Se 2.78
O1 0.5000 0.5000 0.5000  6 Se 2.70

## Properties
The value obtained for the total magnetization is 0.0 μB/f.u. Its space group is R-3m. Its formation energy from raw total energies is -462 meV/atom. Its calculated total energy is -15.70 eV/f.u.


# 3
Density functional theory data (PBE) for an optimized crystal structure of BaSeO4.

Cell lengths 9.2015, 5.8107, 7.5052 Å; angles 90.00, 90.00, 90.00 degrees
With the nearest neighbours (Å) after each atom.
Atoms (fractional coordinates):
Ba1 0.1833 0.2500 0.1568  6 O 2.72-2.92
Ba2 0.3167 0.7500 0.6568  6 O 2.72-2.92
Ba3 0.6833 0.2500 0.3432  6 O 2.72-2.92
Ba4 0.8167 0.7500 0.8432  6 O 2.72-2.92
Se1 0.0610 0.2500 0.6844  4 O 1.66-1.68
Se2 0.4390 0.7500 0.1844  4 O 1.66-1.68
Se3 0.5610 0.2500 0.8156  4 O 1.66-1.68
Se4 0.9390 0.7500 0.3156  4 O 1.66-1.68
O1 0.0800 0.0159 0.8147  1 Se 1.68
O2 0.0800 0.4841 0.8147  1 Se 1.68
O3 0.1049 0.7500 0.4031  1 Se 1.66
O4 0.1945 0.2500 0.5332  1 Se 1.67
O5 0.3055 0.7500 0.0332  1 Se 1.67
O6 0.3951 0.2500 0.9031  1 Se 1.66
O7 0.4200 0.5159 0.3147  1 Se 1.68
O8 0.4200 0.9841 0.3147  1 Se 1.68
O9 0.5800 0.0159 0.6853  1 Se 1.68
O10 0.5800 0.4841 0.6853  1 Se 1.68
O11 0.6049 0.7500 0.0969  1 Se 1.66
O12 0.6945 0.2500 0.9668  1 Se 1.67
O13 0.8055 0.7500 0.4668  1 Se 1.67
O14 0.8951 0.2500 0.5969  1 Se 1.66
O15 0.9200 0.5159 0.1853  1 Se 1.68
O16 0.9200 0.9841 0.1853  1 Se 1.68

## Properties
The value obtained for the total magnetization is 0.0 μB/f.u. Its space group is Pnma. Its formation energy from raw total energies is -1687 meV/atom. Its calculated total energy is -35.36 eV/f.u.


# 4
Density functional theory data (PBE) for an optimized crystal structure of BaSe2O.

Cell lengths 6.9653, 6.9653, 6.9653 Å; angles 44.72, 44.72, 44.72 degrees
With the nearest neighbours (Å) after each atom.
Atoms (fractional coordinates):
Ba1 0.0000 0.0000 0.0000  6 Se 3.31
Se1 0.4009 0.4009 0.4009  1 O 1.86
Se2 0.5991 0.5991 0.5991  1 O 1.86
O1 0.5000 0.5000 0.5000  2 Se 1.86

## Properties
The value obtained for the total magnetization is 0.0 μB/f.u. Its space group is R-3m. Its formation energy from raw total energies is -636 meV/atom. Its calculated total energy is -16.39 eV/f.u.


# 5
Density functional theory data (PBE) for an optimized crystal structure of Ba3Se2O8.

Cell lengths 7.6079, 7.6079, 7.6079 Å; angles 47.47, 47.47, 47.47 degrees
With the nearest neighbours (Å) after each atom.
Atoms (fractional coordinates):
Ba1 0.0000 0.0000 0.0000  6 O 2.73
Ba2 0.2145 0.2145 0.2145  4 O 2.63-2.83
Ba3 0.7855 0.7855 0.7855  4 O 2.63-2.83
Se1 0.4299 0.4299 0.4299  4 O 1.72-1.80
Se2 0.5701 0.5701 0.5701  4 O 1.72-1.80
O1 0.2248 0.7315 0.7315  1 Se 1.80
O2 0.2685 0.2685 0.7752  1 Se 1.80
O3 0.2685 0.7752 0.2685  1 Se 1.80
O4 0.3446 0.3446 0.3446  1 Se 1.72
O5 0.6554 0.6554 0.6554  1 Se 1.72
O6 0.7315 0.2248 0.7315  1 Se 1.80
O7 0.7315 0.7315 0.2248  1 Se 1.80
O8 0.7752 0.2685 0.2685  1 Se 1.80

## Properties
The value obtained for the total magnetization is 0.0 μB/f.u. Its space group is R-3m. Its formation energy from raw total energies is -1728 meV/atom. Its calculated total energy is -74.87 eV/f.u.


# 6
Density functional theory data (PBE) for an optimized crystal structure of BaSe4O12.

Cell lengths 6.4747, 6.4747, 6.4747 Å; angles 109.47, 109.47, 109.47 degrees
With the nearest neighbours (Å) after each atom.
Atoms (fractional coordinates):
Ba1 0.0000 0.0000 0.0000  12 O 2.69
Se1 0.0000 0.0000 0.5000  6 O 1.94
Se2 0.0000 0.5000 0.0000  6 O 1.94
Se3 0.5000 0.0000 0.0000  6 O 1.94
Se4 0.5000 0.5000 0.5000  6 O 1.94
O1 0.0956 0.2977 0.7979  2 Se 1.94
O2 0.2021 0.4998 0.2977  2 Se 1.94
O3 0.2021 0.9044 0.7023  2 Se 1.94
O4 0.2977 0.2021 0.4998  2 Se 1.94
O5 0.2977 0.7979 0.0956  2 Se 1.94
O6 0.4998 0.2977 0.2021  2 Se 1.94
O7 0.5002 0.7023 0.7979  2 Se 1.94
O8 0.7023 0.2021 0.9044  2 Se 1.94
O9 0.7023 0.7979 0.5002  2 Se 1.94
O10 0.7979 0.0956 0.2977  2 Se 1.94
O11 0.7979 0.5002 0.7023  2 Se 1.94
O12 0.9044 0.7023 0.2021  2 Se 1.94

## Properties
The value obtained for the total magnetization is 0.0 μB/f.u. Its space group is Im-3. Its formation energy from raw total energies is -371 meV/atom. Its calculated total energy is -81.67 eV/f.u.


# 7
Density functional theory data (PBE) for an optimized crystal structure of BaSeO4.

Cell lengths 6.8808, 6.8808, 5.2939 Å; angles 111.30, 111.30, 44.63 degrees
With the nearest neighbours (Å) after each atom.
Atoms (fractional coordinates):
Ba1 0.2206 0.7794 0.7500  6 O 2.63-2.89
Ba2 0.7794 0.2206 0.2500  6 O 2.63-2.89
Se1 0.0000 0.5000 0.0000  4 O 1.74-1.94
Se2 0.5000 0.0000 0.5000  4 O 1.74-1.94
O1 0.1818 0.2170 0.6897  2 Se 1.94-1.97
O2 0.2170 0.1818 0.1897  2 Se 1.94-1.97
O3 0.2303 0.5556 0.1281  1 Se 1.74
O4 0.4444 0.7697 0.3718  1 Se 1.74
O5 0.5556 0.2303 0.6282  1 Se 1.74
O6 0.7697 0.4444 0.8718  1 Se 1.74
O7 0.7830 0.8182 0.8103  2 Se 1.94-1.97
O8 0.8182 0.7830 0.3103  2 Se 1.94-1.97

## Properties
The value obtained for the total magnetization is 0.0 μB/f.u. Its space group is C2/c. Its formation energy from raw total energies is -1298 meV/atom. Its calculated total energy is -33.03 eV/f.u.


# 8
Density functional theory data (PBE) for an optimized crystal structure of Ba4Se3O.

Cell lengths 7.8600, 7.8600, 4.6138 Å; angles 90.00, 90.00, 109.03 degrees
With the nearest neighbours (Å) after each atom.
Atoms (fractional coordinates):
Ba1 0.2176 0.7824 0.0000  1 O 2.79
Ba2 0.2440 0.2440 0.5000  4 Se 3.20-3.28, 2 O 3.21
Ba3 0.7560 0.7560 0.5000  4 Se 3.20-3.28, 2 O 3.21
Ba4 0.7824 0.2176 0.0000  1 O 2.79
Se1 0.0000 0.5000 0.5000  6 Ba 3.20-3.27
Se2 0.5000 0.0000 0.5000  6 Ba 3.20-3.27
Se3 0.5000 0.5000 0.0000  6 Ba 3.28-3.61
O1 0.0000 0.0000 0.0000  2 Ba 2.79

## Properties
The value obtained for the total magnetization is 0.0 μB/f.u. Its space group is Cmmm. Its formation energy from raw total energies is -2039 meV/atom. Its calculated total energy is -39.41 eV/f.u.


# 9
Density functional theory data (PBE) for an optimized crystal structure of Ba3Se2O.

Cell lengths 8.0494, 8.0494, 15.8043 Å; angles 92.04, 92.04, 126.26 degrees
With the nearest neighbours (Å) after each atom.
Atoms (fractional coordinates):
Ba1 0.0192 0.9808 0.7500  2 O 2.57
Ba2 0.1251 0.3204 0.5323  1 O 2.49
Ba3 0.1537 0.5026 0.1300  1 O 2.53
Ba4 0.3204 0.1251 0.0323  1 O 2.49
Ba5 0.3996 0.6004 0.7500  2 O 2.55
Ba6 0.4974 0.8463 0.3700  1 O 2.53
Ba7 0.5026 0.1537 0.6300  1 O 2.53
Ba8 0.6004 0.3996 0.2500  2 O 2.55
Ba9 0.6796 0.8749 0.9677  1 O 2.49
Ba10 0.8463 0.4974 0.8700  1 O 2.53
Ba11 0.8749 0.6796 0.4677  1 O 2.49
Ba12 0.9808 0.0192 0.2500  2 O 2.57
Se1 0.0160 0.4312 0.3423  6 Ba 3.29-3.53
Se2 0.1344 0.3383 0.9268  6 Ba 3.32-3.61
Se3 0.3383 0.1344 0.4268  6 Ba 3.32-3.61
Se4 0.4312 0.0160 0.8423  6 Ba 3.29-3.53
Se5 0.5688 0.9840 0.1577  6 Ba 3.29-3.53
Se6 0.6617 0.8656 0.5732  6 Ba 3.32-3.61
Se7 0.8656 0.6617 0.0732  6 Ba 3.32-3.61
Se8 0.9840 0.5688 0.6577  6 Ba 3.29-3.53
O1 0.2737 0.2808 0.1597  4 Ba 2.49-2.57
O2 0.2808 0.2737 0.6597  4 Ba 2.49-2.57
O3 0.7192 0.7263 0.3403  4 Ba 2.49-2.57
O4 0.7263 0.7192 0.8403  4 Ba 2.49-2.57

## Properties
The value obtained for the total magnetization is 0.0 μB/f.u. Its space group is C2/c. The value obtained for the energy above the lowest structure with this stoichiometry is 0 meV/atom. Its formation energy from raw total energies is -2128 meV/atom. Its calculated total energy is -30.46 eV/f.u.


# 10
Density functional theory data (PBE) for an optimized crystal structure of BaSeO6.

Cell lengths 4.9440, 4.9440, 4.9440 Å; angles 96.97, 96.97, 96.97 degrees
With the nearest neighbours (Å) after each atom.
Atoms (fractional coordinates):
Ba1 0.0000 0.0000 0.0000  12 O 2.87-2.98
Se1 0.5000 0.5000 0.5000  6 O 1.79
O1 0.2429 0.2429 0.5730  1 Se 1.79
O2 0.2429 0.5730 0.2429  1 Se 1.79
O3 0.4270 0.7571 0.7571  1 Se 1.79
O4 0.5730 0.2429 0.2429  1 Se 1.79
O5 0.7571 0.4270 0.7571  1 Se 1.79
O6 0.7571 0.7571 0.4270  1 Se 1.79

## Properties
The value obtained for the total magnetization is 4.0 μB/f.u. Its space group is R-3m. Its formation energy from raw total energies is -618 meV/atom. Its calculated total energy is -40.10 eV/f.u.


# 11
Density functional theory data (PBE) for an optimized crystal structure of Ba3Se2O.

Cell lengths 7.6105, 7.6105, 7.5732 Å; angles 90.00, 90.00, 65.35 degrees
With the nearest neighbours (Å) after each atom.
Atoms (fractional coordinates):
Ba1 0.1094 0.8906 0.5000  1 O 2.56
Ba2 0.3238 0.3852 0.1178  2 O 2.74-2.86
Ba3 0.3852 0.3238 0.6178  2 O 2.74-2.86
Ba4 0.6148 0.6762 0.1178  2 O 2.74-2.86
Ba5 0.6762 0.6148 0.6178  2 O 2.74-2.86
Ba6 0.8906 0.1094 0.0000  1 O 2.56
Se1 0.0017 0.6721 0.8447  5 Ba 3.19-3.47
Se2 0.3279 0.9983 0.8447  5 Ba 3.19-3.47
Se3 0.6721 0.0017 0.3447  5 Ba 3.19-3.47
Se4 0.9983 0.3279 0.3447  5 Ba 3.19-3.47
O1 0.3973 0.6027 0.3712  5 Ba 2.56-2.86
O2 0.6027 0.3973 0.8712  5 Ba 2.56-2.86

## Properties
The value obtained for the total magnetization is 0.0 μB/f.u. Its space group is Cmc2_1. The value obtained for the energy above the lowest structure with this stoichiometry is 54 meV/atom. Its formation energy from raw total energies is -2074 meV/atom. Its calculated total energy is -30.14 eV/f.u.


# 12
Density functional theory data (PBE) for an optimized crystal structure of Ba2SeO.

Cell lengths 6.9740, 6.9740, 6.9740 Å; angles 114.65, 114.65, 99.54 degrees
With the nearest neighbours (Å) after each atom.
Atoms (fractional coordinates):
Ba1 0.0559 0.6250 0.9309  2 O 2.58
Ba2 0.3750 0.3059 0.4309  2 O 2.58
Ba3 0.6941 0.1250 0.0691  2 O 2.58
Ba4 0.8750 0.9441 0.5691  2 O 2.58
Se1 0.2500 0.7500 0.5000  4 Ba 3.25
Se2 0.5000 0.5000 0.0000  4 Ba 3.25
O1 0.0000 0.0000 0.0000  4 Ba 2.58
O2 0.7500 0.2500 0.5000  4 Ba 2.58

## Properties
The value obtained for the total magnetization is 0.0 μB/f.u. Its space group is I-42d. The value obtained for the energy above the lowest structure with this stoichiometry is 53 meV/atom. Its formation energy from raw total energies is -2161 meV/atom. Its calculated total energy is -20.93 eV/f.u.


What is the formula in the ninth record?
Ba3Se2O


Which formula does entry 7 have?
BaSeO4